[1]
## Pm5HgIr2 (GGA-PBE)

Data for a relaxed Pm5HgIr2 crystal.

Lattice parameters (Å, degrees): 7.983 7.983 8.878 116.72 116.72 90.00
Positions (direct):
Pm  0.528  0.705  0.733
Pm  0.795  0.972  0.267
Pm  0.000  0.000  0.000
Pm  0.500  0.500  0.000
Pm  0.205  0.028  0.733
Pm  0.705  0.205  0.733
Pm  0.028  0.528  0.733
Pm  0.295  0.795  0.267
Pm  0.972  0.472  0.267
Pm  0.472  0.295  0.267
Hg  0.750  0.750  0.500
Hg  0.250  0.250  0.500
Ir  0.138  0.362  0.000
Ir  0.638  0.138  0.000
Ir  0.362  0.862  0.000
Ir  0.862  0.638  0.000

Calculated values
space group	I4/mcm (140)
calculated formation energy	-0.585	eV per atom
total moment	0.0000	μB/atom
electronic total energy	-5.81	eV/atom
crystal system	tetragonal

***

[2]
## Be2TlFe (GGA-PBE)

Data for a relaxed Be2TlFe crystal.

Lattice parameters (Å, degrees): 4.133 4.133 4.133 60.00 60.00 60.00
Positions (direct):
Be  0.250  0.250  0.250
Be  0.750  0.750  0.750
Tl  0.500  0.500  0.500
Fe  0.000  0.000  0.000

Calculated values
space group	Fm-3m (225)
offset from the most stable computed form	0.228	eV/atom
calculated formation energy	0.579	eV per atom
total moment	0.4215	μB/atom
electronic total energy	-3.99	eV/atom
crystal system	cubic

***

[3]
## Pr3Y7Tm (GGA-PBE)

Data for a relaxed Pr3Y7Tm crystal.

Lattice parameters (Å, degrees): 6.745 6.554 8.708 81.65 80.62 95.11
Positions (direct):
Pr  0.935  0.804  0.165
Pr  0.500  0.000  0.000
Pr  0.065  0.196  0.835
Y  0.777  0.280  0.213
Y  0.731  0.989  0.581
Y  0.293  0.441  0.146
Y  0.707  0.559  0.854
Y  0.000  0.500  0.500
Y  0.269  0.011  0.419
Y  0.223  0.720  0.787
Tm  0.500  0.500  0.500

Calculated values
space group	P-1 (2)
offset from the most stable computed form	0.000	eV/atom
calculated formation energy	0.123	eV per atom
total moment	0.0000	μB/atom
electronic total energy	-5.70	eV/atom
crystal system	triclinic

***

[4]
## BaMn2Cl (GGA-PBE)

Data for a relaxed BaMn2Cl crystal.

Lattice parameters (Å, degrees): 6.072 6.072 6.072 146.24 118.48 72.04
Positions (direct):
Mn  0.983  0.983  0.000
Mn  0.191  0.691  0.500
Ba  0.523  0.523  0.000
Cl  0.804  0.304  0.500

Calculated values
space group	Imm2 (44)
offset from the most stable computed form	0.230	eV/atom
total moment	1.9701	μB/atom
electronic total energy	-5.29	eV/atom
energy relative to the elements, uncorrected	0.238	eV/atom
crystal system	orthorhombic

***

[5]
## Cs2BeGa (GGA-PBE)

Data for a relaxed Cs2BeGa crystal.

Lattice parameters (Å, degrees): 6.240 6.240 6.240 60.00 60.00 60.00
Positions (direct):
Cs  0.250  0.250  0.250
Cs  0.750  0.750  0.750
Be  0.000  0.000  0.000
Ga  0.500  0.500  0.500

Calculated values
space group	Fm-3m (225)
offset from the most stable computed form	0.515	eV/atom
calculated formation energy	0.820	eV per atom
total moment	0.0004	μB/atom
electronic total energy	-1.29	eV/atom
crystal system	cubic

***

[6]
## Sm2Be4ZnIr3 (GGA-PBE)

Data for a relaxed Sm2Be4ZnIr3 crystal.

Lattice parameters (Å, degrees): 3.990 3.990 9.643 90.00 90.00 90.00
Positions (direct):
Sm  0.500  0.000  0.245
Sm  0.000  0.500  0.755
Be  0.500  0.500  0.000
Be  0.000  0.000  0.000
Be  0.500  0.000  0.630
Be  0.000  0.500  0.370
Zn  0.500  0.500  0.500
Ir  0.000  0.000  0.500
Ir  0.500  0.000  0.877
Ir  0.000  0.500  0.123

Calculated values
space group	P-4m2 (115)
calculated formation energy	-0.505	eV per atom
total moment	0.0000	μB/atom
electronic total energy	-5.73	eV/atom
crystal system	tetragonal

***

[7]
## Tl4Hg2BiPb (GGA-PBE)

Data for a relaxed Tl4Hg2BiPb crystal.

Lattice parameters (Å, degrees): 4.848 4.848 11.206 90.00 90.00 90.00
Positions (direct):
Tl  0.000  0.500  0.202
Tl  0.500  0.000  0.798
Tl  0.500  0.000  0.202
Tl  0.000  0.500  0.798
Hg  0.500  0.500  0.376
Hg  0.500  0.500  0.624
Bi  0.000  0.000  0.000
Pb  0.000  0.000  0.500

Calculated values
space group	P4/mmm (123)
calculated formation energy	0.113	eV per atom
total moment	0.0000	μB/atom
electronic total energy	-2.09	eV/atom
crystal system	tetragonal

***

[8]
## Zn4Cu3Ni (GGA-PBE)

Data for a relaxed Zn4Cu3Ni crystal.

Lattice parameters (Å, degrees): 2.588 8.274 6.574 129.00 101.35 90.00
Positions (direct):
Zn  0.371  0.127  0.743
Zn  0.629  0.873  0.257
Zn  0.629  0.385  0.257
Zn  0.371  0.615  0.743
Cu  0.223  0.223  0.447
Cu  0.777  0.777  0.553
Cu  0.000  0.500  0.000
Ni  0.500  0.000  0.000

Calculated values
space group	Immm (71)
offset from the most stable computed form	0.104	eV/atom
calculated formation energy	-0.013	eV per atom
total moment	0.0000	μB/atom
electronic total energy	-2.91	eV/atom
crystal system	orthorhombic